[1]
The following is a DFT calculation (PBE-GGA) of a relaxed Ce3NdCl crystal.

Computed properties:
- E_form (uncorrected): -0.37 eV per atom
- Fermi-level density of states: 17.17 states/eV per cell
- Uncorrected energy: -26.3 eV/cell

a = 5.372 Å, b = 5.372 Å, c = 5.372 Å
α = 90.00°, β = 90.00°, γ = 90.00°
Space group Pm-3m (No. 221)
Symmetry-distinct sites (fractional):
Ce 0.000 0.000 0.500
Nd 0.500 0.500 0.500
Cl 0.000 0.000 0.000



[2]
The following is a DFT calculation (PBE-GGA) of a relaxed RePd2PbF crystal.

Computed properties:
- E_form (uncorrected): 0.22 eV per atom
- Fermi-level density of states: 6.06 states/eV per cell
- Uncorrected energy: -27.3 eV/cell

a = 5.000 Å, b = 5.000 Å, c = 3.964 Å
α = 90.00°, β = 90.00°, γ = 90.00°
Space group P4/mmm (No. 123)
Symmetry-distinct sites (fractional):
Re 0.000 0.000 0.000
Pd 0.000 0.500 0.000
Pb 0.500 0.500 0.500
F 0.000 0.000 0.500



[3]
The following is a DFT calculation (PBE-GGA) of a relaxed Ac3Th2Pb3 crystal.

Computed properties:
- Formation enthalpy at 0 K: -0.321 eV per atom
- Fermi-level density of states: 16.19 states/eV per cell
- Uncorrected energy: -81.7 eV/cell

a = 4.501 Å, b = 5.295 Å, c = 23.831 Å
α = 90.00°, β = 90.00°, γ = 90.00°
Space group Immm (No. 71)
Symmetry-distinct sites (fractional):
Ac 0.000 0.000 0.000
Ac 0.000 0.500 0.119
Th 0.000 0.000 0.250
Pb 0.000 0.000 0.500
Pb 0.000 0.500 0.356



[4]
The following is a DFT calculation (PBE-GGA) of a relaxed Ac2PmSi6 crystal.

Computed properties:
- E_form (uncorrected): -0.53 eV per atom
- Offset from the most stable computed form: 0.000 eV/f.u.
- Fermi-level density of states: 5.90 states/eV per cell
- Uncorrected energy: -50.3 eV/cell

a = 7.2950 Å, b = 7.2950 Å, c = 4.4043 Å
α = 90.00°, β = 90.00°, γ = 120.00°
Space group P6/mmm (No. 191)
Symmetry-distinct sites (fractional):
Ac 0.3333 0.6667 0.0000
Pm 0.0000 0.0000 0.0000
Si 0.0000 0.3279 0.5000



[5]
The following is a DFT calculation (PBE-GGA) of a relaxed La2Pm3Dy6 crystal.

Computed properties:
- Formation enthalpy at 0 K: 0.254 eV per atom
- Offset from the most stable computed form: 0.817 eV/f.u.
- Fermi-level density of states: 33.39 states/eV per cell
- Uncorrected energy: -97.8 eV/cell

a = 4.800 Å, b = 4.800 Å, c = 33.543 Å
α = 90.00°, β = 90.00°, γ = 90.00°
Space group I4/mmm (No. 139)
Symmetry-distinct sites (fractional):
La 0.000 0.000 0.046
Pm 0.000 0.000 0.297
Pm 0.000 0.000 0.500
Dy 0.000 0.000 0.194
Dy 0.000 0.500 0.122



[6]
The following is a DFT calculation (PBE-GGA) of a relaxed RbPt crystal.

Computed properties:
- Formation enthalpy at 0 K: 0.468 eV per atom
- Fermi-level density of states: 8.90 states/eV per cell
- Uncorrected energy: -24.3 eV/cell

a = 2.843 Å, b = 13.095 Å, c = 6.371 Å
α = 90.00°, β = 90.00°, γ = 90.00°
Space group Cmcm (No. 63)
Symmetry-distinct sites (fractional):
Rb 0.000 0.123 0.250
Pt 0.000 0.380 0.250



[7]
The following is a DFT calculation (PBE-GGA) of a relaxed NiHgBPC crystal.

Computed properties:
- Formation enthalpy at 0 K: 0.338 eV per atom
- Offset from the most stable computed form: 0.315 eV/f.u.
- Fermi-level density of states: 0.14 states/eV per cell
- Uncorrected energy: -51.4 eV/cell

a = 12.790 Å, b = 2.875 Å, c = 4.364 Å
α = 90.00°, β = 102.46°, γ = 90.00°
Space group Cm (No. 8)
Symmetry-distinct sites (fractional):
Ni 0.000 0.000 0.000
Hg 0.340 0.000 0.155
B 0.062 0.500 0.797
P 0.155 0.000 0.345
C 0.129 0.500 0.555



[8]
The following is a DFT calculation (PBE-GGA) of a relaxed NaPm2Pb2 crystal.

Computed properties:
- Formation enthalpy at 0 K: -0.331 eV per atom
- Fermi-level density of states: 7.44 states/eV per cell
- Uncorrected energy: -39.8 eV/cell

a = 9.453 Å, b = 9.453 Å, c = 3.604 Å
α = 90.00°, β = 90.00°, γ = 90.00°
Space group P4/mbm (No. 127)
Symmetry-distinct sites (fractional):
Na 0.000 0.000 0.000
Pm 0.130 0.370 0.000
Pb 0.170 0.670 0.500



Q: Fermi-level density of states of number 3 (Ac3Th2Pb3)?
A: 16.19 states/eV per cell



Q: Which value of uncorrected energy does entry 2 give?
A: -27.3 eV/cell



Q: Number 4 is which compound?
A: Ac2PmSi6



Copy entry 4 word for word.
The following is a DFT calculation (PBE-GGA) of a relaxed Ac2PmSi6 crystal.

Computed properties:
- E_form (uncorrected): -0.53 eV per atom
- Offset from the most stable computed form: 0.000 eV/f.u.
- Fermi-level density of states: 5.90 states/eV per cell
- Uncorrected energy: -50.3 eV/cell

a = 7.2950 Å, b = 7.2950 Å, c = 4.4043 Å
α = 90.00°, β = 90.00°, γ = 120.00°
Space group P6/mmm (No. 191)
Symmetry-distinct sites (fractional):
Ac 0.3333 0.6667 0.0000
Pm 0.0000 0.0000 0.0000
Si 0.0000 0.3279 0.5000